Entry 1:
A geometry-optimized ZrGeHRh2 structure. Source: Alexandria via LeMat-Bulk, functional GGA-PBE.

Geometry as POSCAR:
```
ZrGeHRh2
1.0
4.017 0.000 0.000
0.000 4.017 0.000
0.000 0.000 4.156
Zr Ge H Rh
1 1 1 2
direct
0.000 0.000 0.000
0.500 0.500 0.000
0.000 0.000 0.500
0.000 0.500 0.500
0.500 0.000 0.500
```

Fermi-level density of states: 2.95 states/eV/f.u.
electronic total energy: -0.494 Ry per atom

***

Entry 2:
A geometry-optimized GeH3Ru structure. Source: Alexandria via LeMat-Bulk, functional GGA-PBE.

Geometry as POSCAR:
```
GeH3Ru
1.0
3.573 0.000 0.000
0.000 3.573 0.000
0.000 0.000 3.573
Ge H Ru
1 3 1
direct
0.000 0.000 0.000
0.000 0.500 0.500
0.500 0.000 0.500
0.500 0.500 0.000
0.500 0.500 0.500
```

Fermi-level density of states: 1.51 states/eV/f.u.
electronic total energy: -0.330 Ry per atom

***

Entry 3:
A geometry-optimized Ge2HRu structure. Source: Alexandria via LeMat-Bulk, functional GGA-PBE.

Geometry as POSCAR:
```
Ge2HRu
1.0
0.000 3.013 3.013
3.013 0.000 3.013
3.013 3.013 0.000
Ge H Ru
2 1 1
direct
0.250 0.250 0.250
0.750 0.750 0.750
0.000 0.000 0.000
0.500 0.500 0.500
```

Fermi-level density of states: 3.59 states/eV/f.u.
electronic total energy: -0.365 Ry per atom

***

Entry 4:
A geometry-optimized GeH2Ru structure. Source: Alexandria via LeMat-Bulk, functional GGA-PBE.

Geometry as POSCAR:
```
GeH2Ru
1.0
-1.881 1.881 5.903
1.881 -1.881 5.903
1.881 1.881 -5.903
Ge H Ru
2 4 2
direct
0.000 0.000 0.000
0.750 0.250 0.500
0.284 0.625 0.159
0.375 0.534 0.659
0.466 0.125 0.841
0.875 0.716 0.341
0.250 0.750 0.500
0.500 0.500 0.000
```

Fermi-level density of states: 0.90 states/eV/f.u.
electronic total energy: -0.352 Ry per atom

***

Entry 5:
A geometry-optimized Ge2H2Ru structure. Source: Alexandria via LeMat-Bulk, functional GGA-PBE.

Geometry as POSCAR:
```
Ge2H2Ru
1.0
5.857 0.000 0.000
0.000 5.857 0.000
0.000 0.000 3.179
Ge H Ru
4 4 2
direct
0.155 0.345 0.000
0.345 0.845 0.000
0.655 0.155 0.000
0.845 0.655 0.000
0.209 0.709 0.500
0.291 0.209 0.500
0.709 0.791 0.500
0.791 0.291 0.500
0.000 0.000 0.500
0.500 0.500 0.500
```

Fermi-level density of states: 2.27 states/eV/f.u.
electronic total energy: -0.344 Ry per atom

***

Entry 6:
A geometry-optimized Ge2H2Ru structure. Source: Alexandria via LeMat-Bulk, functional GGA-PBE.

Geometry as POSCAR:
```
Ge2H2Ru
1.0
-1.496 1.496 5.976
1.496 -1.496 5.976
1.496 1.496 -5.976
Ge H Ru
2 2 1
direct
0.130 0.130 0.000
0.870 0.870 0.000
0.250 0.750 0.500
0.750 0.250 0.500
0.500 0.500 0.000
```

Fermi-level density of states: 1.30 states/eV/f.u.
electronic total energy: -0.348 Ry per atom

***

Question: Which of these has the highest Fermi-level density of states?
Answer: Ge2HRu